Entry from Alexandria via LeMat-Bulk: crystalline Fe2RhPb at its relaxed geometry (PBE).

As for the space-group type: Immm. The formation energy is 6.88 kcal/mol of atoms. As for the volume: 62.6 Å³/f.u.

abc: 3.6411 4.0867 8.4195
angles: 90.00 90.00 90.00
Closest atoms and distances in Å follow each position.
Fractional coordinates of all 8 atoms:
Fe: 0.0000 0.0000 0.2454  4 Fe 2.74, 4 Rh 2.75-2.96, 4 Pb 2.81-2.91
Fe: 0.0000 0.0000 0.7546  4 Fe 2.74, 4 Rh 2.75-2.96, 4 Pb 2.81-2.91
Fe: 0.5000 0.5000 0.2546  4 Fe 2.74, 4 Rh 2.75-2.96, 4 Pb 2.81-2.91
Fe: 0.5000 0.5000 0.7454  4 Fe 2.74, 4 Rh 2.75-2.96, 4 Pb 2.81-2.91
Rh: 0.0000 0.5000 0.5000  4 Pb 2.74, 8 Fe 2.75-2.96
Rh: 0.5000 0.0000 0.0000  4 Pb 2.74, 8 Fe 2.75-2.96
Pb: 0.0000 0.5000 0.0000  4 Rh 2.74, 8 Fe 2.81-2.91
Pb: 0.5000 0.0000 0.5000  4 Rh 2.74, 8 Fe 2.81-2.91